# 1
# PBE CoMo2Pb, relaxed
data_CoMo2Pb
_chemical_formula_sum 'Co1 Mo2 Pb1'
_symmetry_space_group_name_H-M 'P 4/m m m'
_symmetry_Int_Tables_number 123
_symmetry_space_group_name_Hall '-P 4 2'
_cell_length_a 3.7827
_cell_length_b 3.7827
_cell_length_c 4.5391
_cell_angle_alpha 90.00
_cell_angle_beta 90.00
_cell_angle_gamma 90.00
loop_
_atom_site_label
_atom_site_fract_x
_atom_site_fract_y
_atom_site_fract_z
Co1 0.0000 0.0000 0.0000
Mo1 0.0000 0.5000 0.5000
Pb1 0.5000 0.5000 0.0000
# M_tot in μB per cell: 0.359
# Energy relative to the elements in eV per atom: 0.539
# DOS(E_F) in states/eV/atom: 0.84
# Electronic total energy in eV/atom: -7.58

# 2
# PBE CoMoPb2, relaxed
data_CoMoPb2
_chemical_formula_sum 'Co2 Mo2 Pb4'
_symmetry_space_group_name_H-M 'I m m 2'
_symmetry_Int_Tables_number 44
_cell_length_a 3.1648
_cell_length_b 4.6170
_cell_length_c 11.4782
_cell_angle_alpha 90.00
_cell_angle_beta 90.00
_cell_angle_gamma 90.00
loop_
_symmetry_equiv_pos_as_xyz
'x,y,z'
'-x,-y,z'
'-x,y,z'
'x,-y,z'
'x+1/2,y+1/2,z+1/2'
'-x+1/2,-y+1/2,z+1/2'
'-x+1/2,y+1/2,z+1/2'
'x+1/2,-y+1/2,z+1/2'
loop_
_atom_site_label
_atom_site_fract_x
_atom_site_fract_y
_atom_site_fract_z
Co1 0.0000 0.0000 0.0000
Mo1 0.0000 0.5000 0.6554
Pb1 0.0000 0.0000 0.4788
Pb2 0.0000 0.5000 0.2566
# Distance to the lowest polymorph of the same formula in eV/atom: 0.278
# M_tot in μB per cell: 0.022
# Energy relative to the elements in eV per atom: 0.640
# DOS(E_F) in states/eV/atom: 1.16
# Electronic total energy in eV/atom: -5.70

# 3
# PBE CoMoPb2, relaxed
data_CoMoPb2
_chemical_formula_sum 'Co4 Mo4 Pb8'
_symmetry_space_group_name_H-M 'F -4 3 m'
_symmetry_Int_Tables_number 216
_symmetry_space_group_name_Hall 'F -4 2 3'
_cell_length_a 6.9103
_cell_length_b 6.9103
_cell_length_c 6.9103
_cell_angle_alpha 90.00
_cell_angle_beta 90.00
_cell_angle_gamma 90.00
loop_
_atom_site_label
_atom_site_fract_x
_atom_site_fract_y
_atom_site_fract_z
Co1 0.0000 0.0000 0.0000
Mo1 0.2500 0.2500 0.7500
Pb1 0.0000 0.0000 0.5000
Pb2 0.2500 0.2500 0.2500
# Distance to the lowest polymorph of the same formula in eV/atom: 0.630
# M_tot in μB per cell: 12.020
# Energy relative to the elements in eV per atom: 0.991
# DOS(E_F) in states/eV/atom: 0.45
# Electronic total energy in eV/atom: -5.35

# 4
# PBE CoMoPb2, relaxed
data_CoMoPb2
_chemical_formula_sum 'Co1 Mo1 Pb2'
_symmetry_space_group_name_H-M 'P 4 m m'
_symmetry_Int_Tables_number 99
_cell_length_a 3.1012
_cell_length_b 3.1012
_cell_length_c 9.0634
_cell_angle_alpha 90.00
_cell_angle_beta 90.00
_cell_angle_gamma 90.00
loop_
_symmetry_equiv_pos_as_xyz
'x,y,z'
'-y,x,z'
'-x,-y,z'
'y,-x,z'
'-x,y,z'
'y,x,z'
'x,-y,z'
'-y,-x,z'
loop_
_atom_site_label
_atom_site_fract_x
_atom_site_fract_y
_atom_site_fract_z
Co1 0.0000 0.0000 0.0000
Mo1 0.5000 0.5000 0.1314
Pb1 0.0000 0.0000 0.3847
Pb2 0.5000 0.5000 0.7715
# Distance to the lowest polymorph of the same formula in eV/atom: 0.000
# M_tot in μB per cell: 0.065
# Energy relative to the elements in eV per atom: 0.361
# DOS(E_F) in states/eV/atom: 0.95
# Electronic total energy in eV/atom: -5.98

# 5
# PBE CoMo2Pb, relaxed
data_CoMo2Pb
_chemical_formula_sum 'Co4 Mo8 Pb4'
_symmetry_space_group_name_H-M 'I -4 2 d'
_symmetry_Int_Tables_number 122
_symmetry_space_group_name_Hall 'I -4 2bw'
_cell_length_a 7.2614
_cell_length_b 7.2614
_cell_length_c 5.3261
_cell_angle_alpha 90.00
_cell_angle_beta 90.00
_cell_angle_gamma 90.00
loop_
_atom_site_label
_atom_site_fract_x
_atom_site_fract_y
_atom_site_fract_z
Co1 0.0000 0.0000 0.0000
Mo1 0.1967 0.2500 0.1250
Pb1 0.0000 0.0000 0.5000
# M_tot in μB per cell: 0.001
# Energy relative to the elements in eV per atom: 0.833
# DOS(E_F) in states/eV/atom: 1.03
# Electronic total energy in eV/atom: -7.29

# 6
# PBE Co3MoPb, relaxed
data_Co3MoPb
_chemical_formula_sum 'Co3 Mo1 Pb1'
_symmetry_space_group_name_H-M 'P m -3 m'
_symmetry_Int_Tables_number 221
_symmetry_space_group_name_Hall '-P 4 2 3'
_cell_length_a 4.5134
_cell_length_b 4.5134
_cell_length_c 4.5134
_cell_angle_alpha 90.00
_cell_angle_beta 90.00
_cell_angle_gamma 90.00
loop_
_atom_site_label
_atom_site_fract_x
_atom_site_fract_y
_atom_site_fract_z
Co1 0.0000 0.0000 0.5000
Mo1 0.0000 0.0000 0.0000
Pb1 0.5000 0.5000 0.5000
# Distance to the lowest polymorph of the same formula in eV/atom: 0.000
# M_tot in μB per cell: 1.844
# Energy relative to the elements in eV per atom: 1.241
# DOS(E_F) in states/eV/atom: 1.47
# Electronic total energy in eV/atom: -5.93

# 7
# PBE Co2MoPb, relaxed
data_Co2MoPb
_chemical_formula_sum 'Co6 Mo3 Pb3'
_symmetry_space_group_name_H-M 'R 3 m'
_symmetry_Int_Tables_number 160
_symmetry_space_group_name_Hall 'R 3 -2"'
_cell_length_a 2.9637
_cell_length_b 2.9637
_cell_length_c 25.8694
_cell_angle_alpha 90.00
_cell_angle_beta 90.00
_cell_angle_gamma 120.00
loop_
_atom_site_label
_atom_site_fract_x
_atom_site_fract_y
_atom_site_fract_z
Co1 0.0000 0.0000 0.0000
Co2 0.0000 0.0000 0.2670
Mo1 0.0000 0.0000 0.7421
Pb1 0.0000 0.0000 0.5085
# M_tot in μB per cell: 9.516
# Energy relative to the elements in eV per atom: 0.724
# DOS(E_F) in states/eV/atom: 1.47
# Electronic total energy in eV/atom: -6.46

# 8
# PBE CoMo2Pb, relaxed
data_CoMo2Pb
_chemical_formula_sum 'Co1 Mo2 Pb1'
_symmetry_space_group_name_H-M 'P 1 2/m 1'
_symmetry_Int_Tables_number 10
_cell_length_a 2.8945
_cell_length_b 4.0283
_cell_length_c 5.8178
_cell_angle_alpha 90.00
_cell_angle_beta 94.19
_cell_angle_gamma 90.00
loop_
_symmetry_equiv_pos_as_xyz
'x,y,z'
'-x,-y,-z'
'-x,y,-z'
'x,-y,z'
loop_
_atom_site_label
_atom_site_fract_x
_atom_site_fract_y
_atom_site_fract_z
Co1 0.0000 0.0000 0.0000
Mo1 0.4549 0.5000 0.2023
Pb1 0.0000 0.0000 0.5000
# M_tot in μB per cell: 0.934
# Energy relative to the elements in eV per atom: 0.562
# DOS(E_F) in states/eV/atom: 0.96
# Electronic total energy in eV/atom: -7.56

# 9
# PBE CoMoPdPb2, relaxed
data_CoMoPdPb2
_chemical_formula_sum 'Co1 Mo1 Pd1 Pb2'
_symmetry_space_group_name_H-M 'P 4/m m m'
_symmetry_Int_Tables_number 123
_symmetry_space_group_name_Hall '-P 4 2'
_cell_length_a 4.9337
_cell_length_b 4.9337
_cell_length_c 4.7688
_cell_angle_alpha 90.00
_cell_angle_beta 90.00
_cell_angle_gamma 90.00
loop_
_atom_site_label
_atom_site_fract_x
_atom_site_fract_y
_atom_site_fract_z
Co1 0.0000 0.0000 0.0000
Mo1 0.5000 0.5000 0.5000
Pd1 0.0000 0.0000 0.5000
Pb1 0.0000 0.5000 0.0000
# Distance to the lowest polymorph of the same formula in eV/atom: 0.000
# M_tot in μB per cell: 5.087
# Energy relative to the elements in eV per atom: 1.058
# DOS(E_F) in states/eV/atom: 0.96
# Electronic total energy in eV/atom: -5.05

# 10
# PBE CoMoPdPb2, relaxed
data_CoMoPdPb2
_chemical_formula_sum 'Co1 Mo1 Pd1 Pb2'
_symmetry_space_group_name_H-M 'P 4/m m m'
_symmetry_Int_Tables_number 123
_symmetry_space_group_name_Hall '-P 4 2'
_cell_length_a 5.1941
_cell_length_b 5.1941
_cell_length_c 5.1540
_cell_angle_alpha 90.00
_cell_angle_beta 90.00
_cell_angle_gamma 90.00
loop_
_atom_site_label
_atom_site_fract_x
_atom_site_fract_y
_atom_site_fract_z
Co1 0.0000 0.0000 0.0000
Mo1 0.5000 0.5000 0.0000
Pd1 0.5000 0.5000 0.5000
Pb1 0.0000 0.5000 0.5000
# Distance to the lowest polymorph of the same formula in eV/atom: 0.380
# M_tot in μB per cell: 5.833
# Energy relative to the elements in eV per atom: 1.438
# DOS(E_F) in states/eV/atom: 1.50
# Electronic total energy in eV/atom: -4.67

# 11
# PBE CoSnMo2Pb, relaxed
data_CoSnMo2Pb
_chemical_formula_sum 'Co1 Sn1 Mo2 Pb1'
_symmetry_space_group_name_H-M 'P 4/m m m'
_symmetry_Int_Tables_number 123
_symmetry_space_group_name_Hall '-P 4 2'
_cell_length_a 5.2181
_cell_length_b 5.2181
_cell_length_c 5.5771
_cell_angle_alpha 90.00
_cell_angle_beta 90.00
_cell_angle_gamma 90.00
loop_
_atom_site_label
_atom_site_fract_x
_atom_site_fract_y
_atom_site_fract_z
Co1 0.0000 0.0000 0.0000
Sn1 0.5000 0.5000 0.0000
Mo1 0.0000 0.5000 0.5000
Pb1 0.5000 0.5000 0.5000
# M_tot in μB per cell: 5.852
# Energy relative to the elements in eV per atom: 2.660
# DOS(E_F) in states/eV/atom: 2.60
# Electronic total energy in eV/atom: -4.64

# 12
# PBE VCoMoPb2, relaxed
data_VCoMoPb2
_chemical_formula_sum 'V1 Co1 Mo1 Pb2'
_symmetry_space_group_name_H-M 'P 4/m m m'
_symmetry_Int_Tables_number 123
_symmetry_space_group_name_Hall '-P 4 2'
_cell_length_a 5.2372
_cell_length_b 5.2372
_cell_length_c 4.2235
_cell_angle_alpha 90.00
_cell_angle_beta 90.00
_cell_angle_gamma 90.00
loop_
_atom_site_label
_atom_site_fract_x
_atom_site_fract_y
_atom_site_fract_z
V1 0.0000 0.0000 0.0000
Co1 0.0000 0.0000 0.5000
Mo1 0.5000 0.5000 0.5000
Pb1 0.0000 0.5000 0.0000
# M_tot in μB per cell: 3.723
# Energy relative to the elements in eV per atom: 1.382
# DOS(E_F) in states/eV/atom: 1.10
# Electronic total energy in eV/atom: -5.51

The highest M_tot belongs to which entry?
number 3